The following is a GGA-PBE calculation of crystalline TiAgN2O at its relaxed geometry, from Alexandria.

Symmetry ... P4/mmm (123)
Raw formation energy ... 0.04 eV/atom

a = 4.041 Å, b = 4.041 Å, c = 3.849 Å
α = 90.00°, β = 90.00°, γ = 90.00°
Site moments in Bohr magnetons follow the coordinates.
Positions (direct):
N: 0.000 0.500 0.000  0.64
O: 0.000 0.000 0.500  0.41
N: 0.500 0.000 0.000  0.64
Ag: 0.500 0.500 0.500  0.16
Ti: 0.000 0.000 0.000  -0.11